{"formula": "GaS2N", "functional": "PBE", "state": "relaxed", "lattice_angstrom": [[-2.375, -0.162, 3.578], [-4.204, -0.855, -0.249], [-1.513, -3.769, 1.406]], "species": ["S", "S", "Ga", "N"], "fractional_positions": [[0.250, 0.250, 0.250], [0.750, 0.750, 0.750], [0.500, 0.500, 0.500], [0.000, 0.000, 0.000]], "e_form_raw_ev_per_atom": 1.42, "sg": "Fm-3m (225)"}



{"formula": "LiSmPd6", "functional": "PBE", "state": "relaxed", "lattice_angstrom": [[6.785, 0.000, 0.000], [3.393, 5.876, 0.000], [3.393, 1.959, 3.749]], "species": ["Pd", "Pd", "Pd", "Pd", "Pd", "Pd", "Sm", "Li"], "fractional_positions": [[0.855, 0.855, 0.829], [0.145, 0.145, 0.171], [0.462, 0.855, 0.829], [0.855, 0.462, 0.829], [0.145, 0.538, 0.171], [0.538, 0.145, 0.171], [0.500, 0.500, 0.500], [0.000, 0.000, 0.000]], "ef_mev_per_atom": -166, "sg": "R-3m (166)"}



{"formula": "NdIO", "functional": "PBE", "state": "relaxed", "lattice_angstrom": [[5.318, 0.000, 0.000], [0.000, 3.995, 0.000], [0.000, -1.997, 3.459]], "species": ["Nd", "O", "I"], "fractional_positions": [[0.166, 0.000, 0.000], [0.167, 0.333, 0.667], [0.667, 0.667, 0.333]], "e_form_raw_ev_per_atom": -2.42, "sg": "P3m1 (156)"}



{"formula": "ThScCdAg", "functional": "PBE", "state": "relaxed", "lattice_angstrom": [[5.196, 0.000, 0.000], [2.598, 4.500, 0.000], [2.598, 1.500, 4.243]], "species": ["Th", "Sc", "Ag", "Cd"], "fractional_positions": [[0.250, 0.250, 0.250], [0.750, 0.750, 0.750], [0.500, 0.500, 0.500], [0.000, 0.000, 0.000]], "ef_mev_per_atom": -102, "sg": "F-43m (216)"}



Energy: -13.9, -39.1, -18.5, -17.9 (eV per formula unit)